# ScCr2Mo

Crystalline ScCr2Mo at its relaxed geometry (GGA-PBE, Alexandria via LeMat-Bulk).

```
ScCr2Mo
1.0
-2.2422 -3.6763 -2.8413
0.5758 -3.3648 -3.8681
0.9058 -4.2205 1.2057
Sc Mo Cr
1 1 2
direct
0.7456 0.7456 0.7544 Sc
0.5159 0.5159 0.4841 Mo
0.9771 0.9771 0.0228 Cr
0.2613 0.2613 0.2387 Cr
```

Calculated values
ΔE_f: 0.218 eV per atom
Crystal system: orthorhombic
E above lowest polymorph: 26 meV/atom
Space-group type: Imm2 (44)

=====

# FeCoIr2

Crystalline FeCoIr2 at its relaxed geometry (GGA-PBE, Alexandria via LeMat-Bulk).

```
FeCoIr2
1.0
5.1599 0.0553 -0.0200
2.4373 4.5483 0.0200
-3.1784 -3.3254 2.3384
Fe Co Ir
1 1 2
direct
0.2500 0.7500 0.5000 Fe
0.7500 0.2500 0.5000 Co
0.4840 0.4840 0.0000 Ir
0.0160 0.0160 0.0000 Ir
```

Calculated values
ΔE_f: 0.170 eV per atom
Crystal system: orthorhombic
Space-group type: Immm (71)

=====

# Li2UBiO8

Crystalline Li2UBiO8 at its relaxed geometry (GGA-PBE, Alexandria via LeMat-Bulk).

```
Li2UBiO8
1.0
-4.5302 1.9327 3.5161
4.0579 -1.5004 4.2312
1.9668 4.0850 -4.0082
O U Li Bi
8 1 2 1
direct
0.2648 0.0736 0.8088 O
0.6462 0.0333 0.6129 O
0.2648 0.4560 0.1912 O
0.9667 0.5796 0.6129 O
0.4204 0.0333 0.3871 O
0.5440 0.7352 0.8088 O
0.9264 0.7352 0.1912 O
0.9667 0.3538 0.3871 O
0.2500 0.7500 0.5000 U
0.7500 0.2500 0.5000 Li
0.5000 0.5000 0.0000 Li
0.0000 0.0000 0.0000 Bi
```

Calculated values
Crystal system: tetragonal
Space-group type: I-4m2 (119)
Total DFT energy (no corrections): -6.41 eV per atom

=====

# MoIrRh2

Crystalline MoIrRh2 at its relaxed geometry (GGA-PBE, Alexandria via LeMat-Bulk).

```
MoIrRh2
1.0
-3.0238 -0.4186 2.4747
-1.6882 -0.2818 -2.1104
-0.8837 -5.6837 -2.0413
Rh Mo Ir
2 1 1
direct
0.0000 0.5015 0.4981 Rh
0.0000 0.9985 0.0019 Rh
0.5000 0.7500 0.7500 Mo
0.5000 0.2500 0.2500 Ir
```

Calculated values
ΔE_f: -0.141 eV per atom
Crystal system: orthorhombic
E above lowest polymorph: 143 meV/atom
Space-group type: Pmmm (47)